{
  "formula": "MoPtN2",
  "functional": "PBE-GGA",
  "state": "optimized geometry",
  "m_tot_mub_per_fu": 0.000,
  "sg": "I-42d, No. 122",
  "final_energy_ev_per_cell": -65.02,
  "lattice": [[-2.353, 2.353, 4.799], [2.353, -2.353, 4.799], [2.353, 2.353, -4.799]],
  "species": ["Mo", "Mo", "Pt", "Pt", "N", "N", "N", "N"],
  "frac_coords": [[0.000, 0.000, 0.000], [0.750, 0.250, 0.500], [0.250, 0.750, 0.500], [0.500, 0.500, 0.000], [0.081, 0.625, 0.956], [0.375, 0.331, 0.456], [0.669, 0.125, 0.044], [0.875, 0.919, 0.544]]
}